Entry from the Alexandria database: a relaxed structure of LaMnTl (PBE).

The structure belongs to space group F-43m (No. 216); the cell edges are 7.3021, 7.3021 and 7.3021 Å and the angles 90.00°, 90.00° and 90.00°. Symmetry generates all atoms from La at (0.0000, 0.0000, 0.0000), Mn at (0.2500, 0.2500, 0.7500) and Tl at (0.2500, 0.2500, 0.2500).

The raw total energy comes out at -4.879 eV per atom. The theoretical density comes out at 6.8 g cm⁻³.